1.
# RbCaPCl2, relaxed, DFT PBE-GGA
data_RbCaPCl2
_cell_length_a 5.472
_cell_length_b 5.472
_cell_length_c 5.805
_cell_angle_alpha 90.00
_cell_angle_beta 90.00
_cell_angle_gamma 90.00
_space_group_name_H-M_alt 'P 4/m m m'
_space_group_IT_number 123
_space_group_name_Hall '-P 4 2'
loop_
_atom_site_label
_atom_site_fract_x
_atom_site_fract_y
_atom_site_fract_z
Rb1 0.000 0.000 0.000
Ca1 0.500 0.500 0.500
P1 0.500 0.500 0.000
Cl1 0.000 0.500 0.500
# crystal system	tetragonal
# E_tot	-18.14	eV/f.u.
# ΔE_f (raw)	-1.213	eV per atom
# theoretical density	2.17	Mg/m³

2.
# Ca2RePCl, relaxed, DFT PBE-GGA
data_Ca2RePCl
_cell_length_a 5.178
_cell_length_b 5.178
_cell_length_c 4.714
_cell_angle_alpha 90.00
_cell_angle_beta 90.00
_cell_angle_gamma 90.00
_space_group_name_H-M_alt 'P 4/m m m'
_space_group_IT_number 123
_space_group_name_Hall '-P 4 2'
loop_
_atom_site_label
_atom_site_fract_x
_atom_site_fract_y
_atom_site_fract_z
Ca1 0.000 0.500 0.000
Re1 0.000 0.000 0.500
P1 0.500 0.500 0.500
Cl1 0.500 0.500 0.000
# crystal system	tetragonal
# E_tot	-20.24	eV/f.u.
# ΔE_f (raw)	0.694	eV per atom
# theoretical density	4.37	Mg/m³

Q: What is the formula in the second record?
A: Ca2RePCl